(1)
Entry from Alexandria via LeMat-Bulk: crystalline Ag4Te at its relaxed geometry (GGA-PBEsol).

Lattice parameters (Å, degrees): 6.246 6.246 6.246 90.00 90.00 90.00
Fractional positions:
Ag  0.250  0.250  0.250
Ag  0.250  0.250  0.750
Ag  0.250  0.750  0.250
Ag  0.250  0.750  0.750
Ag  0.750  0.250  0.250
Ag  0.750  0.250  0.750
Ag  0.750  0.750  0.250
Ag  0.750  0.750  0.750
Te  0.000  0.000  0.000
Te  0.500  0.500  0.500

Results
E_tot ... -2.86 eV/atom
Total moment ... 0.000 μB per atom
Uncorrected formation energy ... 0.499 eV per atom
V ... 24.36 A^3/atom
Energy above the lowest structure with this stoichiometry ... 2.31 eV per formula unit

***

(2)
Entry from Alexandria via LeMat-Bulk: crystalline Ag2Te at its relaxed geometry (GGA-PBEsol).

Lattice parameters (Å, degrees): 4.934 7.432 7.388 90.00 90.00 90.00
Fractional positions:
Ag  0.000  0.145  0.140
Ag  0.000  0.355  0.640
Ag  0.000  0.645  0.360
Ag  0.000  0.855  0.860
Ag  0.500  0.145  0.360
Ag  0.500  0.355  0.860
Ag  0.500  0.645  0.140
Ag  0.500  0.855  0.640
Te  0.000  0.000  0.500
Te  0.000  0.500  0.000
Te  0.500  0.000  0.000
Te  0.500  0.500  0.500

Results
E_tot ... -3.36 eV/atom
Total moment ... 0.000 μB per atom
Uncorrected formation energy ... 0.026 eV per atom
V ... 22.58 A^3/atom

***

- Which of these has the highest uncorrected formation energy?
  Ag4Te

***

- V of number 2 (Ag2Te)?
  22.58 A^3/atom

***

- What is the formula in the first record?
  Ag4Te

***

- The highest uncorrected formation energy belongs to which entry?
  Ag4Te